NiMoSeO2 SCAN PBEsol geometry; total magnetic moment = 1.489 Bohr magnetons per cell; DOS at the Fermi energy = 0.739 states/eV/atom; total energy = -15.969 eV/atom; ΔE_f (raw) = 72 kJ per mole of atoms
1.0
3.675 0.000 0.000
0.000 3.675 0.000
0.000 0.000 5.116
Ni Mo Se O
1 1 1 2
direct
0.000 0.000 0.000
0.500 0.500 0.000
0.500 0.500 0.500
0.000 0.500 0.500
0.500 0.000 0.500

Sr2NiMoO6 SCAN PBEsol geometry; total magnetic moment = 1.998 Bohr magnetons per cell; DOS at the Fermi energy = 0.000 states/eV/atom; total energy = -15.862 eV/atom; ΔE_f (raw) = -247 kJ per mole of atoms
1.0
-2.744 2.744 3.934
2.744 -2.744 3.934
2.744 2.744 -3.934
Sr Ni Mo O
2 1 1 6
direct
0.250 0.750 0.500
0.750 0.250 0.500
0.000 0.000 0.000
0.500 0.500 0.000
0.221 0.709 0.930
0.256 0.256 0.000
0.291 0.221 0.512
0.709 0.779 0.488
0.744 0.744 0.000
0.779 0.291 0.070

NiMoOs SCAN PBEsol geometry; total magnetic moment = 0.001 Bohr magnetons per cell; DOS at the Fermi energy = 1.216 states/eV/atom; relative energy among the computed polymorphs = 0.11 eV/f.u.; total energy = -40.795 eV/atom; DFT formation energy = 185 meV/atom
1.0
2.652 0.000 0.000
0.000 2.652 0.000
0.000 0.000 11.292
Ni Mo Os
2 2 2
direct
0.000 0.000 0.000
0.500 0.500 0.500
0.000 0.000 0.664
0.500 0.500 0.164
0.000 0.000 0.341
0.500 0.500 0.841

NiMoOs3 SCAN PBEsol geometry; total magnetic moment = 0.729 Bohr magnetons per cell; DOS at the Fermi energy = 0.942 states/eV/atom; relative energy among the computed polymorphs = 0.00 eV/f.u.; total energy = -51.447 eV/atom; DFT formation energy = 1893 meV/atom
1.0
4.306 0.000 0.000
0.000 4.306 0.000
0.000 0.000 4.306
Ni Mo Os
1 1 3
direct
0.000 0.000 0.000
0.500 0.500 0.500
0.000 0.000 0.500
0.000 0.500 0.000
0.500 0.000 0.000

NiMoOs3 SCAN PBEsol geometry; total magnetic moment = 2.076 Bohr magnetons per cell; DOS at the Fermi energy = 1.060 states/eV/atom; relative energy among the computed polymorphs = 3.45 eV/f.u.; total energy = -50.757 eV/atom; DFT formation energy = 2582 meV/atom
1.0
4.588 0.000 0.000
0.000 4.588 0.000
0.000 0.000 4.588
Ni Mo Os
1 1 3
direct
0.000 0.000 0.000
0.500 0.500 0.500
0.000 0.500 0.500
0.500 0.000 0.500
0.500 0.500 0.000

NiMoOs SCAN PBEsol geometry; total magnetic moment = 0.000 Bohr magnetons per cell; DOS at the Fermi energy = 1.094 states/eV/atom; relative energy among the computed polymorphs = 0.00 eV/f.u.; total energy = -40.830 eV/atom; DFT formation energy = 149 meV/atom
1.0
4.203 0.000 0.000
-2.102 3.640 0.000
0.000 0.000 2.622
Ni Mo Os
1 1 1
direct
0.000 0.000 0.000
0.333 0.667 0.000
0.667 0.333 0.500

NiMoOs SCAN PBEsol geometry; total magnetic moment = 1.358 Bohr magnetons per cell; DOS at the Fermi energy = 0.641 states/eV/atom; relative energy among the computed polymorphs = 1.23 eV/f.u.; total energy = -40.419 eV/atom; DFT formation energy = 561 meV/atom
1.0
5.774 0.000 0.000
0.000 5.774 0.000
0.000 0.000 5.774
Ni Mo Os
4 4 4
direct
0.000 0.000 0.000
0.000 0.500 0.500
0.500 0.000 0.500
0.500 0.500 0.000
0.000 0.000 0.500
0.000 0.500 0.000
0.500 0.000 0.000
0.500 0.500 0.500
0.250 0.250 0.750
0.250 0.750 0.250
0.750 0.250 0.250
0.750 0.750 0.750

Ni4MoOs SCAN PBEsol geometry; total magnetic moment = 2.082 Bohr magnetons per cell; DOS at the Fermi energy = 0.791 states/eV/atom; total energy = -28.563 eV/atom; DFT formation energy = 13 meV/atom
1.0
0.000 3.257 3.257
3.257 0.000 3.257
3.257 3.257 0.000
Ni Mo Os
4 1 1
direct
0.125 0.125 0.125
0.125 0.125 0.626
0.125 0.626 0.125
0.626 0.125 0.125
0.500 0.500 0.500
0.750 0.750 0.750

Ni2MoP SCAN PBEsol geometry; total magnetic moment = 0.000 Bohr magnetons per cell; DOS at the Fermi energy = 0.722 states/eV/atom; total energy = -19.492 eV/atom; DFT formation energy = -85 meV/atom
1.0
2.874 0.000 0.000
0.000 2.874 0.000
0.000 0.000 5.675
Ni Mo P
2 1 1
direct
0.000 0.000 0.000
0.500 0.500 0.253
0.500 0.500 0.730
0.000 0.000 0.437

Ni6Mo2P3 SCAN PBEsol geometry; total magnetic moment = 0.000 Bohr magnetons per cell; DOS at the Fermi energy = 0.702 states/eV/atom; total energy = -18.464 eV/atom; DFT formation energy = -463 meV/atom
1.0
3.485 0.000 0.000
0.000 12.751 0.000
0.000 0.000 5.624
Ni Mo P
12 4 6
direct
0.250 0.040 0.135
0.250 0.250 0.227
0.250 0.460 0.135
0.250 0.651 0.051
0.250 0.750 0.440
0.250 0.849 0.051
0.750 0.151 0.949
0.750 0.250 0.560
0.750 0.349 0.949
0.750 0.540 0.865
0.750 0.750 0.773
0.750 0.960 0.865
0.250 0.082 0.616
0.250 0.418 0.616
0.750 0.582 0.384
0.750 0.918 0.384
0.250 0.250 0.825
0.250 0.612 0.678
0.250 0.888 0.678
0.750 0.112 0.322
0.750 0.388 0.322
0.750 0.750 0.175

Ni2MoP SCAN PBEsol geometry; total magnetic moment = 0.011 Bohr magnetons per cell; DOS at the Fermi energy = 0.933 states/eV/atom; total energy = -19.287 eV/atom; DFT formation energy = 120 meV/atom
1.0
2.708 0.000 0.000
-1.354 2.345 0.000
0.000 0.000 23.028
Ni Mo P
6 3 3
direct
0.000 0.000 0.000
0.000 0.000 0.247
0.333 0.667 0.667
0.333 0.667 0.913
0.667 0.333 0.333
0.667 0.333 0.580
0.000 0.000 0.755
0.333 0.667 0.421
0.667 0.333 0.088
0.000 0.000 0.510
0.333 0.667 0.177
0.667 0.333 0.844

Ni2MoP SCAN PBEsol geometry; total magnetic moment = 0.001 Bohr magnetons per cell; DOS at the Fermi energy = 0.764 states/eV/atom; total energy = -19.398 eV/atom; DFT formation energy = 10 meV/atom
1.0
2.658 0.000 0.000
-1.329 2.302 0.000
0.000 0.000 23.495
Ni Mo P
6 3 3
direct
0.000 0.000 0.239
0.000 0.000 0.761
0.333 0.667 0.427
0.333 0.667 0.906
0.667 0.333 0.094
0.667 0.333 0.573
0.000 0.000 0.000
0.333 0.667 0.667
0.667 0.333 0.333
0.000 0.000 0.500
0.333 0.667 0.167
0.667 0.333 0.833

Number 1: ρ 6.4 Mg/m³. Number 2: ρ 6.0 Mg/m³. Number 3: ρ 14.4 Mg/m³. Number 4: ρ 15.1 Mg/m³. Number 5: ρ 12.5 Mg/m³. Number 6: ρ 14.3 Mg/m³. Number 7: ρ 11.9 Mg/m³. Number 8: ρ 12.5 Mg/m³. Number 9: ρ 8.7 Mg/m³. Number 10: ρ 8.5 Mg/m³. Number 11: ρ 8.3 Mg/m³. Number 12: ρ 8.5 Mg/m³.